# 1
VASP calculation (PBE-GGA) on SrCuB3 after structural relaxation.

Lattice parameters (Å, degrees): 4.0964 4.0964 4.0964 90.00 90.00 90.00
Closest atoms and distances in Å follow each position.
Element x y z (fractional)
Sr 0.5000 0.5000 0.5000  12 B 2.90
B 0.0000 0.5000 0.0000  2 Cu 2.05
B 0.0000 0.0000 0.5000  2 Cu 2.05
B 0.5000 0.0000 0.0000  2 Cu 2.05
Cu 0.0000 0.0000 0.0000  6 B 2.05

Fermi-level density of states: 3.494 states/eV/cell
excess energy over the best structure of this formula in the dataset: 0.000 eV per formula unit
energy of formation from the pure elements: 1.126 eV/atom
space group: Pm-3m


# 2
VASP calculation (PBE-GGA) on Ca2ZnRuC after structural relaxation.

Lattice parameters (Å, degrees): 5.0957 3.8930 5.0957 90.00 90.00 90.00
Closest atoms and distances in Å follow each position.
Element x y z (fractional)
C 0.0000 0.0000 0.0000  2 Ru 1.95
Ru 0.0000 0.5000 0.0000  2 C 1.95
Zn 0.5000 0.5000 0.5000  8 Ca 3.21
Ca 0.0000 0.0000 0.5000  2 C 2.55
Ca 0.5000 0.0000 0.0000  2 C 2.55

Fermi-level density of states: 3.179 states/eV/cell
energy of formation from the pure elements: -0.045 eV/atom
space group: P4/mmm


# 3
VASP calculation (PBE-GGA) on PuCo2Pd after structural relaxation.

Lattice parameters (Å, degrees): 3.6738 4.0627 4.0627 90.00 90.00 90.00
Closest atoms and distances in Å follow each position.
Element x y z (fractional)
Co 0.0000 0.0000 0.5000  4 Pd 2.74, 4 Pu 2.74, 4 Co 2.87
Co 0.0000 0.5000 0.0000  4 Pd 2.74, 4 Pu 2.74, 4 Co 2.87
Pd 0.5000 0.5000 0.5000  8 Co 2.74, 4 Pu 2.87
Pu 0.5000 0.0000 0.0000  8 Co 2.74, 4 Pd 2.87

Fermi-level density of states: 9.894 states/eV/cell
energy of formation from the pure elements: -0.096 eV/atom
space group: P4/mmm


# 4
VASP calculation (PBE-GGA) on RbTlOF2 after structural relaxation.

Lattice parameters (Å, degrees): 4.7229 4.7229 4.1117 90.00 90.00 90.00
Closest atoms and distances in Å follow each position.
Element x y z (fractional)
Tl 0.0000 0.0000 0.0000  2 O 2.06
O 0.0000 0.0000 0.5000  2 Tl 2.06
Rb 0.5000 0.5000 0.5000  8 F 3.13, 4 O 3.34
F 0.0000 0.5000 0.0000  2 Tl 2.36
F 0.5000 0.0000 0.0000  2 Tl 2.36

Fermi-level density of states: 2.051 states/eV/cell
E_form (uncorrected): -1.75 eV/atom
excess energy over the best structure of this formula in the dataset: 0.000 eV per formula unit
space group: P4/mmm